A plane-wave DFT calculation with PBE was carried out for a relaxed structure of Tb5Sm4Dy4.

Geometry as CIF:
```
data_Tb5Sm4Dy4
_chemical_formula_sum 'Tb5 Sm4 Dy4'
_symmetry_space_group_name_H-M 'P 1'
_symmetry_Int_Tables_number 1
_cell_length_a 5.040
_cell_length_b 9.466
_cell_length_c 9.466
_cell_angle_alpha 85.94
_cell_angle_beta 74.56
_cell_angle_gamma 74.56
loop_
_symmetry_equiv_pos_as_xyz
'x,y,z'
loop_
_atom_site_label
_atom_site_fract_x
_atom_site_fract_y
_atom_site_fract_z
Sm1 0.922 0.461 0.694
Tb1 0.309 0.152 0.230
Dy1 0.770 0.384 0.077
Tb2 0.539 0.770 0.152
Tb3 0.461 0.230 0.848
Sm2 0.078 0.539 0.306
Dy2 0.230 0.616 0.923
Sm3 0.617 0.306 0.461
Tb4 0.000 0.000 0.000
Dy3 0.154 0.077 0.616
Dy4 0.846 0.923 0.384
Tb5 0.691 0.848 0.770
Sm4 0.383 0.694 0.539
```

DFT total energy: -60.25 eV per cell

---

A plane-wave DFT calculation with PBE was carried out for a relaxed structure of FeAgB3.

Geometry as CIF:
```
data_FeAgB3
_chemical_formula_sum 'Fe1 Ag1 B3'
_symmetry_space_group_name_H-M 'P 1'
_symmetry_Int_Tables_number 1
_cell_length_a 4.126
_cell_length_b 4.126
_cell_length_c 4.126
_cell_angle_alpha 90.00
_cell_angle_beta 90.00
_cell_angle_gamma 90.00
loop_
_symmetry_equiv_pos_as_xyz
'x,y,z'
loop_
_atom_site_label
_atom_site_fract_x
_atom_site_fract_y
_atom_site_fract_z
Fe1 0.500 0.500 0.500
B1 0.000 0.500 0.000
B2 0.000 0.000 0.500
B3 0.500 0.000 0.000
Ag1 0.000 0.000 0.000
```

DFT total energy: -19.84 eV per cell

---

A plane-wave DFT calculation with PBE was carried out for a relaxed structure of Zr2SnIrS.

Geometry as CIF:
```
data_Zr2SnIrS
_chemical_formula_sum 'Zr2 Sn1 Ir1 S1'
_symmetry_space_group_name_H-M 'P 1'
_symmetry_Int_Tables_number 1
_cell_length_a 5.288
_cell_length_b 4.267
_cell_length_c 5.288
_cell_angle_alpha 90.00
_cell_angle_beta 90.00
_cell_angle_gamma 90.00
loop_
_symmetry_equiv_pos_as_xyz
'x,y,z'
loop_
_atom_site_label
_atom_site_fract_x
_atom_site_fract_y
_atom_site_fract_z
Ir1 0.000 0.000 0.000
Zr1 0.000 0.000 0.500
Sn1 0.500 0.500 0.500
S1 0.000 0.500 0.000
Zr2 0.500 0.000 0.000
```

DFT total energy: -33.80 eV per cell

---

A plane-wave DFT calculation with PBE was carried out for a relaxed structure of DyBeAl3Cu.

Geometry as CIF:
```
data_DyBeAl3Cu
_chemical_formula_sum 'Dy2 Be2 Al6 Cu2'
_symmetry_space_group_name_H-M 'P 1'
_symmetry_Int_Tables_number 1
_cell_length_a 5.736
_cell_length_b 6.131
_cell_length_c 6.621
_cell_angle_alpha 117.58
_cell_angle_beta 90.00
_cell_angle_gamma 90.00
loop_
_symmetry_equiv_pos_as_xyz
'x,y,z'
loop_
_atom_site_label
_atom_site_fract_x
_atom_site_fract_y
_atom_site_fract_z
Be1 0.250 0.941 0.883
Al1 0.250 0.142 0.285
Al2 0.500 0.287 0.000
Dy1 0.250 0.720 0.440
Cu1 0.250 0.354 0.709
Cu2 0.750 0.646 0.291
Al3 0.000 0.287 0.000
Al4 0.750 0.858 0.715
Be2 0.750 0.059 0.117
Al5 0.500 0.713 0.000
Al6 0.000 0.713 0.000
Dy2 0.750 0.280 0.560
```

DFT total energy: -47.59 eV per cell

---

A plane-wave DFT calculation with PBE was carried out for a relaxed structure of BeBi2C.

Geometry as CIF:
```
data_BeBi2C
_chemical_formula_sum 'Be1 Bi2 C1'
_symmetry_space_group_name_H-M 'P 1'
_symmetry_Int_Tables_number 1
_cell_length_a 4.782
_cell_length_b 4.782
_cell_length_c 4.782
_cell_angle_alpha 60.00
_cell_angle_beta 60.00
_cell_angle_gamma 60.00
loop_
_symmetry_equiv_pos_as_xyz
'x,y,z'
loop_
_atom_site_label
_atom_site_fract_x
_atom_site_fract_y
_atom_site_fract_z
C1 0.500 0.500 0.500
Bi1 0.250 0.250 0.250
Bi2 0.750 0.750 0.750
Be1 0.000 0.000 0.000
```

DFT total energy: -14.39 eV per cell

---

A plane-wave DFT calculation with PBE was carried out for a relaxed structure of Na2P2Os.

Geometry as CIF:
```
data_Na2P2Os
_chemical_formula_sum 'Na4 P4 Os2'
_symmetry_space_group_name_H-M 'P 1'
_symmetry_Int_Tables_number 1
_cell_length_a 8.160
_cell_length_b 8.160
_cell_length_c 2.559
_cell_angle_alpha 90.00
_cell_angle_beta 90.00
_cell_angle_gamma 90.00
loop_
_symmetry_equiv_pos_as_xyz
'x,y,z'
loop_
_atom_site_label
_atom_site_fract_x
_atom_site_fract_y
_atom_site_fract_z
P1 0.188 0.688 0.500
Na1 0.386 0.886 0.000
Os1 0.500 0.500 0.000
P2 0.812 0.312 0.500
Os2 0.000 0.000 0.000
P3 0.312 0.188 0.500
P4 0.688 0.812 0.500
Na2 0.886 0.614 0.000
Na3 0.114 0.386 0.000
Na4 0.614 0.114 0.000
```

DFT total energy: -41.10 eV per cell

---

| no. | M_tot (μB per atom) |
| --- | --- |
| 1 | 0.000 |
| 2 | 0.557 |
| 3 | 0.000 |
| 4 | 0.000 |
| 5 | 0.071 |
| 6 | 0.000 |